Record 1
Below is crystalline Ac6Pm4Pr at its relaxed geometry, with properties calculated at the GGA-PBE level.

Cell lengths 9.8567, 9.8567, 9.8567 Å; angles 64.25, 135.83, 135.83 degrees
Fractional coordinates of all 11 atoms:
Ac1 0.0000 0.9908 0.3752
Ac2 0.5000 0.0000 0.5000
Ac3 0.6156 0.6248 0.6248
Ac4 0.3844 0.0092 0.0092
Ac5 0.0000 0.3752 0.9908
Ac6 0.5000 0.5000 0.0000
Pm1 0.0000 0.5544 0.2414
Pm2 0.3130 0.7586 0.7586
Pm3 0.6870 0.4456 0.4456
Pm4 0.0000 0.2414 0.5544
Pr1 0.0000 0.0000 0.0000

Output
The energy of formation from the pure elements comes out at 292 meV/atom. Its crystal system is tetragonal. As for the symmetry: I-42m (121). For the magnetic moment, the calculation gives 0.000 μB per formula unit.

Record 2
Below is crystalline ZrOsIN2 at its relaxed geometry, with properties calculated at the GGA-PBE level.

Cell lengths 3.9335, 3.9335, 5.7032 Å; angles 90.00, 90.00, 90.00 degrees
Fractional coordinates of all 5 atoms:
N1 0.5000 0.0000 0.0000
N2 0.0000 0.5000 0.0000
Os1 0.0000 0.0000 0.0000
I1 0.0000 0.0000 0.5000
Zr1 0.5000 0.5000 0.5000

Output
Its crystal system is tetragonal. The value obtained for the energy relative to the lowest polymorph listed for this composition is 0 meV/atom. As for the symmetry: P4/mmm (123). The energy relative to the elements, uncorrected comes out at 0.98 eV/atom. For the magnetic moment, the calculation gives 0.917 μB per formula unit.

Record 3
Below is crystalline AlPPbO2 at its relaxed geometry, with properties calculated at the GGA-PBE level.

Cell lengths 3.7830, 3.7830, 5.1340 Å; angles 90.00, 90.00, 90.00 degrees
Fractional coordinates of all 5 atoms:
P1 0.0000 0.0000 0.5000
Al1 0.0000 0.0000 0.0000
O1 0.5000 0.0000 0.0000
O2 0.0000 0.5000 0.0000
Pb1 0.5000 0.5000 0.5000

Output
Its crystal system is tetragonal. The value obtained for the energy relative to the lowest polymorph listed for this composition is 0 meV/atom. As for the symmetry: P4/mmm (123). The energy relative to the elements, uncorrected comes out at -0.93 eV/atom. For the magnetic moment, the calculation gives 0.363 μB per formula unit.

Record 4
Below is crystalline Y2OsPb at its relaxed geometry, with properties calculated at the GGA-PBE level.

Cell lengths 5.0111, 5.0111, 3.7491 Å; angles 90.00, 90.00, 90.00 degrees
Fractional coordinates of all 4 atoms:
Y1 0.0000 0.0000 0.0000
Y2 0.5000 0.5000 0.0000
Os1 0.5000 0.0000 0.5000
Pb1 0.0000 0.5000 0.5000

Output
The energy of formation from the pure elements comes out at -151 meV/atom. Its crystal system is tetragonal. As for the symmetry: P4/mmm (123). For the magnetic moment, the calculation gives 0.000 μB per formula unit.